(1)
Below is a geometry-optimized La2GaAg2 structure, with properties calculated at the PBEsol level. Values from VASP.

```
&SYSTEM
  ibrav = 0, nat = 10, ntyp = 3
/
ATOMIC_SPECIES
La 138.91 La.upf
Ag 107.87 Ag.upf
Ga 69.72 Ga.upf
CELL_PARAMETERS angstrom
-1.107 0.785 3.918
-6.278 -4.435 -0.885
4.023 -6.168 2.373
ATOMIC_POSITIONS crystal
La 0.500 0.679 0.821
Ag 0.000 0.625 0.125
Ga 0.000 0.000 0.000
La 0.500 0.179 0.679
Ag 0.000 0.875 0.625
La 0.500 0.321 0.179
Ag 0.000 0.125 0.375
La 0.500 0.821 0.321
Ag 0.000 0.375 0.875
Ga 0.000 0.500 0.500
```

Energy of formation from the pure elements: -0.305 eV/atom
Symmetry: No. 127

(2)
Below is a geometry-optimized LaGa2Ag2 structure, with properties calculated at the PBEsol level. Values from VASP.

```
&SYSTEM
  ibrav = 0, nat = 5, ntyp = 3
/
ATOMIC_SPECIES
Ga 69.72 Ga.upf
La 138.91 La.upf
Ag 107.87 Ag.upf
CELL_PARAMETERS angstrom
4.397 0.000 0.000
0.000 4.397 0.000
-2.198 -2.198 5.357
ATOMIC_POSITIONS crystal
Ga 0.750 0.250 0.500
La 0.000 0.000 0.000
Ga 0.250 0.750 0.500
Ag 0.377 0.377 0.753
Ag 0.623 0.623 0.247
```

Energy of formation from the pure elements: -0.359 eV/atom
Symmetry: No. 139

(3)
Below is a geometry-optimized La2GaAg2 structure, with properties calculated at the PBEsol level. Values from VASP.

```
&SYSTEM
  ibrav = 0, nat = 5, ntyp = 3
/
ATOMIC_SPECIES
La 138.91 La.upf
Ag 107.87 Ag.upf
Ga 69.72 Ga.upf
CELL_PARAMETERS angstrom
5.660 0.035 0.051
-2.642 5.006 -0.051
-2.642 -1.842 4.655
ATOMIC_POSITIONS crystal
La 0.500 0.250 0.750
Ag 0.000 0.663 0.663
Ag 0.000 0.337 0.337
La 0.500 0.750 0.250
Ga 0.000 0.000 0.000
```

Energy of formation from the pure elements: -0.095 eV/atom
Symmetry: No. 139

(4)
Below is a geometry-optimized LaGaAg2Te structure, with properties calculated at the PBEsol level. Values from VASP.

```
&SYSTEM
  ibrav = 0, nat = 5, ntyp = 4
/
ATOMIC_SPECIES
Ag 107.87 Ag.upf
Ga 69.72 Ga.upf
Te 127.60 Te.upf
La 138.91 La.upf
CELL_PARAMETERS angstrom
5.645 0.000 0.000
0.000 5.645 0.000
0.000 0.000 5.975
ATOMIC_POSITIONS crystal
Ag 0.000 0.500 0.000
Ga 0.500 0.500 0.500
Ag 0.500 0.000 0.000
Te 0.000 0.000 0.500
La 0.000 0.000 0.000
```

Total DFT energy (no corrections): -16.0 eV for the cell shown
Symmetry: No. 123

(5)
Below is a geometry-optimized LiGa2Ag structure, with properties calculated at the PBEsol level. Values from VASP.

```
&SYSTEM
  ibrav = 0, nat = 4, ntyp = 3
/
ATOMIC_SPECIES
Ag 107.87 Ag.upf
Ga 69.72 Ga.upf
Li 6.94 Li.upf
CELL_PARAMETERS angstrom
-2.078 -2.332 3.193
2.385 -2.238 3.042
0.113 1.418 4.234
ATOMIC_POSITIONS crystal
Ag 0.500 0.500 0.500
Ga 0.250 0.250 0.250
Li 0.000 0.000 0.000
Ga 0.750 0.750 0.750
```

Energy of formation from the pure elements: -0.190 eV/atom
Symmetry: No. 225

(6)
Below is a geometry-optimized Li2GaAg2 structure, with properties calculated at the PBEsol level. Values from VASP.

```
&SYSTEM
  ibrav = 0, nat = 10, ntyp = 3
/
ATOMIC_SPECIES
Ag 107.87 Ag.upf
Ga 69.72 Ga.upf
Li 6.94 Li.upf
CELL_PARAMETERS angstrom
3.355 0.000 0.000
0.000 6.913 0.000
0.000 0.000 6.913
ATOMIC_POSITIONS crystal
Ag 0.000 0.143 0.357
Ga 0.000 0.000 0.000
Li 0.500 0.659 0.841
Li 0.500 0.159 0.659
Ag 0.000 0.643 0.143
Li 0.500 0.841 0.341
Ag 0.000 0.857 0.643
Ga 0.000 0.500 0.500
Ag 0.000 0.357 0.857
Li 0.500 0.341 0.159
```

Energy of formation from the pure elements: -0.148 eV/atom
Symmetry: No. 127

(7)
Below is a geometry-optimized Li2GaAg2 structure, with properties calculated at the PBEsol level. Values from VASP.

```
&SYSTEM
  ibrav = 0, nat = 5, ntyp = 3
/
ATOMIC_SPECIES
Li 6.94 Li.upf
Ga 69.72 Ga.upf
Ag 107.87 Ag.upf
CELL_PARAMETERS angstrom
-1.098 -3.320 0.232
1.065 -0.582 -3.288
6.199 0.070 3.863
ATOMIC_POSITIONS crystal
Li 0.250 0.750 0.500
Ga 0.000 0.000 0.000
Li 0.750 0.250 0.500
Ag 0.601 0.601 0.201
Ag 0.399 0.399 0.799
```

Energy of formation from the pure elements: 0.075 eV/atom
Symmetry: No. 139

(8)
Below is a geometry-optimized Li2Ga2Ag structure, with properties calculated at the PBEsol level. Values from VASP.

```
&SYSTEM
  ibrav = 0, nat = 10, ntyp = 3
/
ATOMIC_SPECIES
Li 6.94 Li.upf
Ga 69.72 Ga.upf
Ag 107.87 Ag.upf
CELL_PARAMETERS angstrom
-0.753 -0.515 3.105
6.674 -0.960 1.460
0.689 6.743 1.285
ATOMIC_POSITIONS crystal
Li 0.500 0.333 0.167
Ga 0.000 0.633 0.133
Ga 0.000 0.867 0.633
Li 0.500 0.167 0.667
Ag 0.000 0.000 0.000
Ag 0.000 0.500 0.500
Ga 0.000 0.133 0.367
Li 0.500 0.833 0.333
Ga 0.000 0.367 0.867
Li 0.500 0.667 0.833
```

Energy of formation from the pure elements: -0.214 eV/atom
Symmetry: No. 127

(9)
Below is a geometry-optimized LiGa2AgPt structure, with properties calculated at the PBEsol level. Values from VASP.

```
&SYSTEM
  ibrav = 0, nat = 5, ntyp = 4
/
ATOMIC_SPECIES
Li 6.94 Li.upf
Ag 107.87 Ag.upf
Ga 69.72 Ga.upf
Pt 195.08 Pt.upf
CELL_PARAMETERS angstrom
4.718 0.000 0.000
0.000 4.718 0.000
0.000 0.000 5.108
ATOMIC_POSITIONS crystal
Li 0.500 0.500 0.500
Ag 0.000 0.000 0.000
Ga 0.000 0.500 0.000
Ga 0.500 0.000 0.000
Pt 0.000 0.000 0.500
```

Energy of formation from the pure elements: 0.482 eV/atom
Symmetry: No. 123

(10)
Below is a geometry-optimized LuGaAg structure, with properties calculated at the PBEsol level. Values from VASP.

```
&SYSTEM
  ibrav = 0, nat = 6, ntyp = 3
/
ATOMIC_SPECIES
Lu 174.97 Lu.upf
Ga 69.72 Ga.upf
Ag 107.87 Ag.upf
CELL_PARAMETERS angstrom
-1.420 -4.184 0.086
-0.364 -2.105 5.149
-5.507 -0.446 0.964
ATOMIC_POSITIONS crystal
Lu 0.534 0.221 0.710
Ga 0.160 0.801 0.880
Ag 0.173 0.373 0.281
Ga 0.840 0.199 0.120
Lu 0.466 0.779 0.290
Ag 0.827 0.627 0.719
```

Energy of formation from the pure elements: -0.505 eV/atom
Symmetry: No. 12

(11)
Below is a geometry-optimized MgGaAg2 structure, with properties calculated at the PBEsol level. Values from VASP.

```
&SYSTEM
  ibrav = 0, nat = 4, ntyp = 3
/
ATOMIC_SPECIES
Ga 69.72 Ga.upf
Ag 107.87 Ag.upf
Mg 24.30 Mg.upf
CELL_PARAMETERS angstrom
4.554 0.000 0.000
2.277 3.944 0.000
2.277 1.315 3.719
ATOMIC_POSITIONS crystal
Ga 0.500 0.500 0.500
Ag 0.250 0.250 0.250
Ag 0.750 0.750 0.750
Mg 0.000 0.000 0.000
```

Energy of formation from the pure elements: -0.174 eV/atom
Symmetry: No. 225

(12)
Below is a geometry-optimized Mg7GaAg12 structure, with properties calculated at the PBEsol level. Values from VASP.

```
&SYSTEM
  ibrav = 0, nat = 20, ntyp = 3
/
ATOMIC_SPECIES
Ag 107.87 Ag.upf
Mg 24.30 Mg.upf
Ga 69.72 Ga.upf
CELL_PARAMETERS angstrom
-4.271 -1.676 0.114
-0.740 -4.453 -0.826
0.284 -5.775 18.127
ATOMIC_POSITIONS crystal
Ag 0.450 0.450 0.650
Mg 0.000 0.000 0.001
Ag 0.050 0.050 0.851
Ag 0.500 0.500 0.500
Ag 0.750 0.750 0.749
Ag 0.150 0.150 0.549
Mg 0.400 0.400 0.801
Ag 0.901 0.901 0.298
Ag 0.251 0.251 0.247
Mg 0.802 0.802 0.595
Mg 0.201 0.201 0.398
Ag 0.851 0.851 0.447
Ag 0.549 0.549 0.352
Mg 0.100 0.100 0.700
Ga 0.300 0.300 0.101
Ag 0.649 0.649 0.054
Ag 0.951 0.951 0.148
Ag 0.349 0.349 0.953
Mg 0.700 0.700 0.900
Mg 0.598 0.598 0.205
```

Energy of formation from the pure elements: -0.193 eV/atom
Symmetry: No. 160

(13)
Below is a geometry-optimized GaAgMo3 structure, with properties calculated at the PBEsol level. Values from VASP.

```
&SYSTEM
  ibrav = 0, nat = 5, ntyp = 3
/
ATOMIC_SPECIES
Mo 95.94 Mo.upf
Ga 69.72 Ga.upf
Ag 107.87 Ag.upf
CELL_PARAMETERS angstrom
4.707 0.000 0.000
0.000 4.707 0.000
0.000 0.000 4.707
ATOMIC_POSITIONS crystal
Mo 0.000 0.000 0.500
Mo 0.500 0.000 0.000
Ga 0.500 0.500 0.500
Ag 0.000 0.000 0.000
Mo 0.000 0.500 0.000
```

Energy of formation from the pure elements: 2.424 eV/atom
Symmetry: No. 221

(14)
Below is a geometry-optimized GaAgSN2 structure, with properties calculated at the PBEsol level. Values from VASP.

```
&SYSTEM
  ibrav = 0, nat = 5, ntyp = 4
/
ATOMIC_SPECIES
N 14.01 N.upf
Ag 107.87 Ag.upf
S 32.06 S.upf
Ga 69.72 Ga.upf
CELL_PARAMETERS angstrom
-2.963 0.072 2.661
1.935 -2.676 2.227
2.366 3.817 2.531
ATOMIC_POSITIONS crystal
N 0.500 0.000 0.000
Ag 0.000 0.000 0.000
N 0.000 0.500 0.000
S 0.000 0.000 0.500
Ga 0.500 0.500 0.500
```

Total DFT energy (no corrections): -20.1 eV for the cell shown
Symmetry: No. 123

(15)
Below is a geometry-optimized NaGa2Ag2 structure, with properties calculated at the PBEsol level. Values from VASP.

```
&SYSTEM
  ibrav = 0, nat = 10, ntyp = 3
/
ATOMIC_SPECIES
Ga 69.72 Ga.upf
Na 22.99 Na.upf
Ag 107.87 Ag.upf
CELL_PARAMETERS angstrom
-2.050 -1.714 1.077
1.707 -5.476 -5.464
5.299 -3.249 4.911
ATOMIC_POSITIONS crystal
Ga 0.500 0.841 0.341
Ga 0.500 0.659 0.841
Na 0.000 0.500 0.500
Ag 0.000 0.863 0.637
Ag 0.000 0.363 0.863
Ga 0.500 0.159 0.659
Na 0.000 0.000 0.000
Ag 0.000 0.637 0.137
Ag 0.000 0.137 0.363
Ga 0.500 0.341 0.159
```

Energy of formation from the pure elements: -0.064 eV/atom
Symmetry: No. 127

(16)
Below is a geometry-optimized Na2Ga2Ag structure, with properties calculated at the PBEsol level. Values from VASP.

```
&SYSTEM
  ibrav = 0, nat = 10, ntyp = 3
/
ATOMIC_SPECIES
Ga 69.72 Ga.upf
Na 22.99 Na.upf
Ag 107.87 Ag.upf
CELL_PARAMETERS angstrom
4.948 0.000 0.000
0.000 6.651 0.000
0.000 0.000 6.651
ATOMIC_POSITIONS crystal
Ga 0.000 0.133 0.367
Na 0.500 0.678 0.822
Ag 0.000 0.000 0.000
Ag 0.000 0.500 0.500
Ga 0.000 0.367 0.867
Na 0.500 0.178 0.678
Na 0.500 0.322 0.178
Na 0.500 0.822 0.322
Ga 0.000 0.633 0.133
Ga 0.000 0.867 0.633
```

Energy of formation from the pure elements: -0.039 eV/atom
Symmetry: No. 127

(17)
Below is a geometry-optimized NaGa2Ag2 structure, with properties calculated at the PBEsol level. Values from VASP.

```
&SYSTEM
  ibrav = 0, nat = 5, ntyp = 3
/
ATOMIC_SPECIES
Ga 69.72 Ga.upf
Ag 107.87 Ag.upf
Na 22.99 Na.upf
CELL_PARAMETERS angstrom
-2.984 -1.087 2.527
-1.773 -2.091 -2.993
5.525 -3.354 1.822
ATOMIC_POSITIONS crystal
Ga 0.250 0.750 0.500
Ga 0.750 0.250 0.500
Ag 0.611 0.611 0.222
Na 0.000 0.000 0.000
Ag 0.389 0.389 0.778
```

Energy of formation from the pure elements: 0.007 eV/atom
Symmetry: No. 139

(18)
Below is a geometry-optimized Na2GaAg2 structure, with properties calculated at the PBEsol level. Values from VASP.

```
&SYSTEM
  ibrav = 0, nat = 10, ntyp = 3
/
ATOMIC_SPECIES
Na 22.99 Na.upf
Ag 107.87 Ag.upf
Ga 69.72 Ga.upf
CELL_PARAMETERS angstrom
4.798 0.000 0.000
0.000 6.714 0.000
0.000 0.000 6.714
ATOMIC_POSITIONS crystal
Na 0.500 0.670 0.830
Ag 0.000 0.356 0.856
Na 0.500 0.330 0.170
Ga 0.000 0.500 0.500
Ag 0.000 0.856 0.644
Ag 0.000 0.644 0.144
Na 0.500 0.170 0.670
Na 0.500 0.830 0.330
Ag 0.000 0.144 0.356
Ga 0.000 0.000 0.000
```

Energy of formation from the pure elements: 0.022 eV/atom
Symmetry: No. 127

(19)
Below is a geometry-optimized NaGa6AgTe10 structure, with properties calculated at the PBEsol level. Values from VASP.

```
&SYSTEM
  ibrav = 0, nat = 36, ntyp = 4
/
ATOMIC_SPECIES
Ga 69.72 Ga.upf
Te 127.60 Te.upf
Na 22.99 Na.upf
Ag 107.87 Ag.upf
CELL_PARAMETERS angstrom
-7.170 -6.444 -3.120
-2.122 -2.386 9.616
-6.825 7.619 0.277
ATOMIC_POSITIONS crystal
Ga 0.121 0.159 0.421
Te 0.337 0.429 0.930
Ga 0.841 0.879 0.579
Te 0.163 0.165 0.164
Te 0.085 0.915 0.500
Te 0.922 0.515 0.087
Ga 0.162 0.424 0.120
Te 0.485 0.078 0.913
Te 0.167 0.833 0.000
Te 0.835 0.837 0.836
Na 0.748 0.252 0.000
Te 0.243 0.566 0.322
Te 0.070 0.568 0.668
Ga 0.170 0.337 0.748
Te 0.323 0.237 0.566
Ga 0.878 0.577 0.842
Te 0.665 0.071 0.569
Ga 0.746 0.167 0.341
Na 0.503 0.497 0.500
Te 0.929 0.335 0.431
Te 0.763 0.677 0.434
Ga 0.833 0.254 0.659
Te 0.434 0.757 0.678
Te 0.432 0.930 0.332
Te 0.679 0.435 0.756
Te 0.571 0.663 0.070
Ag 0.294 0.996 0.696
Ga 0.576 0.838 0.880
Ga 0.253 0.663 0.832
Ga 0.423 0.122 0.158
Ga 0.663 0.830 0.252
Te 0.565 0.321 0.244
Ga 0.337 0.747 0.168
Te 0.840 0.994 0.176
Te 0.006 0.160 0.824
Ag 0.004 0.706 0.304
```

Total DFT energy (no corrections): -131.9 eV for the cell shown
Symmetry: No. 5

(20)
Below is a geometry-optimized NbGa2Ag2 structure, with properties calculated at the PBEsol level. Values from VASP.

```
&SYSTEM
  ibrav = 0, nat = 5, ntyp = 3
/
ATOMIC_SPECIES
Nb 92.91 Nb.upf
Ag 107.87 Ag.upf
Ga 69.72 Ga.upf
CELL_PARAMETERS angstrom
-1.539 1.295 3.215
1.224 -3.088 1.830
5.108 3.615 -1.247
ATOMIC_POSITIONS crystal
Nb 0.000 0.000 0.000
Ag 0.750 0.250 0.500
Ag 0.250 0.750 0.500
Ga 0.401 0.401 0.801
Ga 0.599 0.599 0.199
```

Energy of formation from the pure elements: 0.069 eV/atom
Symmetry: No. 139

The following magnetization values (in μB/cell) correspond, in order, to the records above: 0.000; 0.000; 0.000; 0.000; 0.000; 0.000; 0.000; 0.000; 0.000; 0.000; 0.000; 0.000; 0.001; 3.172; 0.000; 0.000; 0.000; 0.000; 0.000; 0.000.
The following mass density values (in Mg/m³) correspond, in order, to the records above: 7.5; 7.9; 7.0; 4.8; 6.7; 6.2; 5.9; 5.6; 6.6; 10.1; 7.7; 7.4; 7.4; 4.8; 6.9; 4.5; 6.3; 5.1; 5.8; 8.9.